No. 1
LaTmNi2: relaxed, GGA-PBE.

a b c (Å): 3.764 4.330 5.482
angles (deg): 90.00 110.04 90.00
Fractional positions:
La: 0.724 0.000 0.987
Tm: 0.449 0.500 0.436
Ni: 0.152 0.500 0.844
Ni: 0.006 0.000 0.551

Summary:
Magnetic moment = 0.0 μB/f.u.
Energy above the lowest structure with this stoichiometry = 0.000 eV per atom
Calculated formation energy = -0.40 eV/atom

=====

No. 2
TcPd3Br: relaxed, GGA-PBE.

a b c (Å): 4.838 4.838 4.838
angles (deg): 90.00 90.00 90.00
Fractional positions:
Br: 0.500 0.500 0.500
Tc: 0.000 0.000 0.000
Pd: 0.000 0.500 0.000
Pd: 0.000 0.000 0.500
Pd: 0.500 0.000 0.000

Summary:
Magnetic moment = 0.0 μB/f.u.
Energy above the lowest structure with this stoichiometry = 0.004 eV per atom
Formation energy (no corrections) = 1100 meV/atom

=====

No. 3
InHg4: relaxed, GGA-PBE.

a b c (Å): 3.432 3.432 11.697
angles (deg): 98.43 98.43 90.00
Fractional positions:
In: 0.000 0.000 0.000
Hg: 0.600 0.600 0.201
Hg: 0.200 0.200 0.399
Hg: 0.800 0.800 0.601
Hg: 0.400 0.400 0.799

Summary:
Magnetic moment = 0.0 μB/f.u.
Energy above the lowest structure with this stoichiometry = 0.012 eV per atom
Calculated formation energy = 0.01 eV/atom

=====

No. 4
Rb2AcSe2O6: relaxed, GGA-PBE.

a b c (Å): 6.467 5.946 7.817
angles (deg): 110.21 90.00 122.95
Fractional positions:
Rb: 0.702 0.403 0.152
Rb: 0.298 0.597 0.848
Ac: 0.500 0.000 0.500
Se: 0.930 0.860 0.772
Se: 0.070 0.140 0.228
O: 0.771 0.542 0.565
O: 0.218 0.961 0.252
O: 0.258 0.039 0.748
O: 0.782 0.039 0.748
O: 0.742 0.961 0.252
O: 0.229 0.458 0.435

Summary:
Magnetic moment = 0.0 μB/f.u.
Formation energy (no corrections) = -1564 meV/atom

=====

No. 5
Tl2InW: relaxed, GGA-PBE.

a b c (Å): 5.036 3.116 5.981
angles (deg): 74.66 90.00 90.00
Fractional positions:
In: 0.500 0.715 0.693
Tl: 0.000 0.043 0.040
Tl: 0.500 0.445 0.234
W: 0.000 0.297 0.534

Summary:
Magnetic moment = 0.0 μB/f.u.
Energy above the lowest structure with this stoichiometry = 0.158 eV per atom
Calculated formation energy = 0.78 eV/atom

=====

No. 6
Na2Li2Br: relaxed, GGA-PBE.

a b c (Å): 7.676 7.676 5.491
angles (deg): 90.00 90.00 90.00
Fractional positions:
Na: 0.344 0.844 0.000
Na: 0.844 0.656 0.000
Na: 0.656 0.156 0.000
Na: 0.156 0.344 0.000
Br: 0.000 0.000 0.000
Br: 0.500 0.500 0.000
Li: 0.140 0.640 0.500
Li: 0.640 0.860 0.500
Li: 0.860 0.360 0.500
Li: 0.360 0.140 0.500

Summary:
Magnetic moment = 0.0 μB/f.u.
Energy above the lowest structure with this stoichiometry = 0.145 eV per atom
Formation energy (no corrections) = -306 meV/atom